TcIrOsRh PBE optimized geometry; SG = Amm2, No. 38; formation energy from the elements = 48 meV/atom
1.0
4.240 0.000 0.000
0.000 1.348 5.079
0.000 -1.348 5.079
Tc Ir Os Rh
1 1 1 1
Cartesian
0.000 0.000 0.000
0.000 0.000 7.554
2.120 0.000 3.457
2.120 0.000 6.078